# 1
# LuMg

An optimized crystal structure of LuMg (PBE-GGA, OQMD via LeMat-Bulk).

POSCAR file:
```
LuMg
1.0
0.000 3.069 3.069
3.069 0.000 3.069
3.069 3.069 0.000
Lu Mg
1 1
direct
0.000 0.000 0.000
0.500 0.500 0.500
```

Summary:
Total magnetization: 0.00 μB/f.u.
Energy: -2.559 eV per atom



# 2
# LuMg

An optimized crystal structure of LuMg (PBE-GGA, OQMD via LeMat-Bulk).

POSCAR file:
```
LuMg
1.0
5.340 0.000 0.000
0.000 13.399 0.000
0.000 0.000 5.912
Lu Mg
8 8
direct
0.250 0.003 0.169
0.250 0.124 0.656
0.250 0.376 0.656
0.250 0.497 0.169
0.750 0.503 0.831
0.750 0.624 0.344
0.750 0.876 0.344
0.750 0.997 0.831
0.250 0.250 0.158
0.250 0.627 0.671
0.250 0.750 0.154
0.250 0.873 0.671
0.750 0.127 0.329
0.750 0.250 0.846
0.750 0.373 0.329
0.750 0.750 0.842
```

Summary:
Total magnetization: 0.00 μB/f.u.
Energy: -2.991 eV per atom



# 3
# LuMg

An optimized crystal structure of LuMg (PBE-GGA, OQMD via LeMat-Bulk).

POSCAR file:
```
LuMg
1.0
5.338 0.000 0.000
0.000 13.144 0.000
0.000 0.000 5.999
Lu Mg
8 8
direct
0.250 0.116 0.121
0.250 0.250 0.620
0.250 0.384 0.121
0.250 0.750 0.727
0.750 0.250 0.273
0.750 0.616 0.879
0.750 0.750 0.380
0.750 0.884 0.879
0.250 0.502 0.641
0.250 0.632 0.204
0.250 0.868 0.204
0.250 0.998 0.641
0.750 0.002 0.359
0.750 0.132 0.796
0.750 0.368 0.796
0.750 0.498 0.359
```

Summary:
Total magnetization: 0.00 μB/f.u.
Energy: -3.033 eV per atom



# 4
# LuMg

An optimized crystal structure of LuMg (PBE-GGA, OQMD via LeMat-Bulk).

POSCAR file:
```
LuMg
1.0
4.972 0.000 0.000
-2.486 4.306 0.000
0.000 0.000 8.104
Lu Mg
2 2
direct
0.333 0.667 0.000
0.667 0.333 0.500
0.333 0.667 0.375
0.667 0.333 0.875
```

Summary:
Total magnetization: 0.00 μB/f.u.
Energy: -1.741 eV per atom



# 5
# LuMg

An optimized crystal structure of LuMg (PBE-GGA, OQMD via LeMat-Bulk).

POSCAR file:
```
LuMg
1.0
6.933 0.000 0.000
0.000 5.355 0.000
-1.753 0.000 8.575
Lu Mg
6 6
direct
0.029 0.250 0.113
0.306 0.750 0.231
0.470 0.750 0.883
0.530 0.250 0.117
0.694 0.250 0.769
0.971 0.750 0.887
0.133 0.750 0.555
0.192 0.250 0.780
0.357 0.250 0.452
0.643 0.750 0.548
0.808 0.750 0.220
0.867 0.250 0.445
```

Summary:
Total magnetization: 0.00 μB/f.u.
Energy: -3.027 eV per atom



# 6
# LuMg

An optimized crystal structure of LuMg (PBE-GGA, OQMD via LeMat-Bulk).

POSCAR file:
```
LuMg
1.0
0.000 3.525 3.525
3.525 0.000 3.525
3.525 3.525 0.000
Lu Mg
1 1
direct
0.000 0.000 0.000
0.750 0.750 0.750
```

Summary:
Total magnetization: 0.00 μB/f.u.
Energy: -1.745 eV per atom



# 7
# LuMg

An optimized crystal structure of LuMg (PBE-GGA, OQMD via LeMat-Bulk).

POSCAR file:
```
LuMg
1.0
5.358 0.000 0.000
0.000 9.985 0.000
0.000 0.000 5.903
Lu Mg
6 6
direct
0.000 0.078 0.000
0.000 0.411 0.038
0.000 0.589 0.538
0.000 0.922 0.500
0.500 0.412 0.691
0.500 0.588 0.191
0.000 0.249 0.520
0.000 0.751 0.020
0.500 0.083 0.678
0.500 0.242 0.196
0.500 0.758 0.696
0.500 0.917 0.178
```

Summary:
Total magnetization: 0.00 μB/f.u.
Energy: -3.004 eV per atom



# 8
# LuMg3

An optimized crystal structure of LuMg3 (PBE-GGA, OQMD via LeMat-Bulk).

POSCAR file:
```
LuMg3
1.0
6.423 0.000 0.000
0.000 5.005 0.000
-2.153 0.000 6.084
Lu Mg
2 6
direct
0.124 0.250 0.379
0.876 0.750 0.621
0.182 0.250 0.890
0.328 0.750 0.173
0.390 0.750 0.682
0.610 0.250 0.318
0.672 0.250 0.827
0.818 0.750 0.110
```

Summary:
Total magnetization: 0.00 μB/f.u.
Energy: -2.326 eV per atom



# 9
# LuMg

An optimized crystal structure of LuMg (PBE-GGA, OQMD via LeMat-Bulk).

POSCAR file:
```
LuMg
1.0
6.702 0.000 0.000
0.000 5.863 0.000
0.000 0.000 5.372
Lu Mg
4 4
direct
0.132 0.077 0.250
0.132 0.423 0.750
0.868 0.577 0.250
0.868 0.923 0.750
0.372 0.589 0.250
0.372 0.911 0.750
0.628 0.089 0.250
0.628 0.411 0.750
```

Summary:
Total magnetization: 0.00 μB/f.u.
Energy: -3.028 eV per atom



# 10
# LuMg3

An optimized crystal structure of LuMg3 (PBE-GGA, OQMD via LeMat-Bulk).

POSCAR file:
```
LuMg3
1.0
3.466 -5.501 0.000
3.466 5.501 0.000
0.000 0.000 5.217
Lu Mg
2 6
direct
0.100 0.900 0.750
0.900 0.100 0.250
0.104 0.404 0.750
0.394 0.606 0.250
0.404 0.104 0.250
0.596 0.896 0.750
0.606 0.394 0.750
0.896 0.596 0.250
```

Summary:
Total magnetization: 0.00 μB/f.u.
Energy: -2.279 eV per atom



# 11
# LuMg

An optimized crystal structure of LuMg (PBE-GGA, OQMD via LeMat-Bulk).

POSCAR file:
```
LuMg
1.0
5.239 0.000 0.000
0.000 3.770 0.000
0.000 0.000 5.248
Lu Mg
2 2
direct
0.250 0.000 0.249
0.750 0.000 0.751
0.250 0.500 0.749
0.750 0.500 0.251
```

Summary:
Total magnetization: 0.02 μB/f.u.
Energy: -3.077 eV per atom



# 12
# LuMg

An optimized crystal structure of LuMg (PBE-GGA, OQMD via LeMat-Bulk).

POSCAR file:
```
LuMg
1.0
5.337 0.000 0.000
0.000 6.911 0.000
0.000 0.000 11.324
Lu Mg
8 8
direct
0.250 0.005 0.089
0.250 0.250 0.347
0.250 0.250 0.819
0.250 0.495 0.089
0.750 0.505 0.911
0.750 0.750 0.181
0.750 0.750 0.653
0.750 0.995 0.911
0.250 0.504 0.585
0.250 0.750 0.354
0.250 0.750 0.827
0.250 0.996 0.585
0.750 0.004 0.415
0.750 0.250 0.173
0.750 0.250 0.646
0.750 0.496 0.415
```

Summary:
Total magnetization: 0.05 μB/f.u.
Energy: -3.041 eV per atom